The following is a GGA+U calculation of a geometry-optimized MnOF structure, from Alexandria via LeMat-Bulk.

Cell lengths 5.698, 6.921, 6.948 Å; angles 96.45, 90.86, 91.49 degrees
Site moments in Bohr magnetons follow the coordinates.
Sites, in units of the cell vectors:
O 0.385 0.361 0.924  -0.17
O 0.117 0.069 0.173  -0.20
O 0.115 0.552 0.646  -0.14
O 0.892 0.814 0.414  -0.15
O 0.403 0.890 0.801  -0.15
O 0.616 0.159 0.566  -0.13
O 0.383 0.416 0.322  -0.18
O 0.609 0.663 0.070  -0.14
Mn 0.849 0.364 0.626  4.05
Mn 0.146 0.622 0.386  4.02
Mn 0.346 0.141 0.379  4.06
Mn 0.350 0.628 0.863  4.01
Mn 0.665 0.883 0.621  4.08
Mn 0.610 0.403 0.121  3.48
Mn 0.849 0.879 0.151  4.12
Mn 0.196 0.112 0.902  4.36
F 0.391 0.857 0.402  0.04
F 0.634 0.592 0.653  0.03
F 0.116 0.661 0.106  0.05
F 0.860 0.411 0.326  0.04
F 0.896 0.916 0.864  0.03
F 0.862 0.333 0.922  0.02
F 0.605 0.115 0.148  0.04
F 0.103 0.160 0.613  0.03

Properties
Total magnetic moment (μB per cell): 32.0
Fermi-level density of states (states/eV/atom): 0.0873
Calculated density (g/cm3): 4.390
V (A^3/atom): 11.34
DFT total energy (eV/atom): -6.7101